Record 1
8
Lattice="0.621 1.127 -4.189 2.329 -3.658 -0.639 -11.723 -7.222 -1.390" Properties=species:S:1:pos:R:3 comment="LaHoTe6 | Alexandria | PBE | optimized geometry" dft_energy_ev_per_atom=-4.525 formation_energy_uncorrected_mev_per_atom=-980 volume_a3_per_cell=262 crystal_system=orthorhombic magnetic_moment_mub_per_cell=0.00 pbc="T T T"
La -2.791 -4.136 -1.527
Ho -7.176 -3.805 -4.380
Te -0.281 -2.290 -2.950
Te -9.575 -5.586 -2.923
Te -5.581 -5.765 -2.379
Te -4.489 -2.237 -3.560
Te -8.099 -6.851 -5.337
Te -1.757 -1.025 -0.536

Record 2
18
Lattice="8.006 1.520 1.078 5.276 6.211 1.078 5.276 3.071 5.505" Properties=species:S:1:pos:R:3 comment="Pa2Fe3TcB12 | Alexandria | PBE | optimized geometry" delta_e_f_ev_per_atom=0.05 dft_energy_ev_per_atom=-7.445 volume_a3_per_cell=194 crystal_system=trigonal magnetic_moment_mub_per_cell=6.07 pbc="T T T"
Pa 11.916 6.936 4.920
Pa 6.641 3.866 2.742
Fe 4.003 0.760 0.539
Fe 2.638 3.106 0.539
Fe 2.638 1.535 2.753
Tc 0.000 0.000 0.000
B 4.704 2.738 0.866
B 14.343 8.349 3.872
B 12.660 9.304 6.599
B 3.821 3.240 2.298
B 14.343 6.414 6.599
B 4.704 1.723 2.298
B 13.854 8.064 6.796
B 4.215 2.453 3.790
B 5.897 1.498 1.062
B 14.737 7.562 5.364
B 4.215 4.388 1.062
B 13.854 9.079 5.364

Record 3
16
Lattice="-0.597 1.415 5.007 -5.416 -4.011 0.488 7.366 -9.513 3.567" Properties=species:S:1:pos:R:3 comment="Sm5Cd2Tc | Alexandria | PBE | optimized geometry" delta_e_f_ev_per_atom=-0.13 dft_energy_ev_per_atom=-4.608 volume_a3_per_cell=444 crystal_system=orthorhombic magnetic_moment_mub_per_cell=0.00 pbc="T T T"
Sm -1.416 -1.612 3.026
Sm 2.768 -10.497 6.036
Sm -1.909 -6.477 4.342
Sm 3.262 -5.632 4.720
Sm 0.510 -10.283 2.967
Sm 1.440 -3.240 1.087
Sm 3.774 -8.996 2.993
Sm -1.824 -4.528 1.062
Sm 0.975 -6.762 2.027
Sm 0.000 0.000 0.000
Cd 0.313 -4.194 3.962
Cd 1.040 -7.915 5.100
Cd 5.335 -7.959 5.625
Cd -3.982 -4.150 3.437
Tc 3.683 -4.756 1.784
Tc -2.708 -2.005 0.244

Record 4
5
Lattice="-1.557 0.191 -5.041 5.029 -0.353 -1.567 -0.362 -4.843 -0.071" Properties=species:S:1:pos:R:3 comment="LaNiSbTe2 | Alexandria | PBE | optimized geometry" dft_energy_ev_per_atom=-4.739 formation_energy_uncorrected_mev_per_atom=-517 volume_a3_per_cell=135 crystal_system=tetragonal magnetic_moment_mub_per_cell=0.00 pbc="T T T"
Sb -0.181 -2.421 -0.036
Te 2.515 -0.176 -0.784
Te -0.779 0.095 -2.521
Ni 0.000 0.000 0.000
La 1.555 -2.502 -3.340

Record 5
5
Lattice="-4.530 -1.745 0.216 0.612 -2.122 -4.328 2.155 -5.239 2.873" Properties=species:S:1:pos:R:3 comment="NaMnSb2I | Alexandria | PBE | optimized geometry" dft_energy_ev_per_atom=-3.966 formation_energy_uncorrected_mev_per_atom=91 e_above_lowest_polymorph_ev_per_atom=0.000 volume_a3_per_cell=150 crystal_system=tetragonal magnetic_moment_mub_per_cell=0.00 pbc="T T T"
I 1.078 -2.619 1.437
Sb 0.306 -1.061 -2.164
Sb -2.265 -0.873 0.108
Mn 0.000 0.000 0.000
Na -0.882 -4.553 -0.620

Record 6
18
Lattice="6.612 0.000 0.000 -3.306 5.726 0.000 0.000 0.000 11.509" Properties=species:S:1:pos:R:3 comment="AgHgRhCl6 | Alexandria | PBE | optimized geometry" dft_energy_ev_per_atom=-2.943 formation_energy_uncorrected_mev_per_atom=-545 volume_a3_per_cell=436 crystal_system=trigonal magnetic_moment_mub_per_cell=0.00 pbc="T T T"
Ag 0.000 0.000 0.000
Ag 0.000 0.000 5.755
Hg 0.000 3.817 2.877
Hg 3.306 1.909 8.632
Rh 3.306 1.909 2.877
Rh 0.000 3.817 8.632
Cl 2.334 3.578 1.509
Cl 5.238 1.916 1.509
Cl -0.960 5.494 7.264
Cl -1.932 3.810 10.000
Cl 1.374 1.916 4.245
Cl 4.278 3.578 4.245
Cl 0.960 5.494 10.000
Cl 4.266 0.232 4.245
Cl -0.972 2.148 7.264
Cl 2.346 0.232 1.509
Cl 1.932 3.810 7.264
Cl 0.972 2.148 10.000

Record 7
24
Lattice="7.036 0.000 3.209 3.518 8.453 1.604 0.010 0.000 9.296" Properties=species:S:1:pos:R:3 comment="YCd11 | Alexandria | PBE | optimized geometry" delta_e_f_ev_per_atom=-0.05 dft_energy_ev_per_atom=-1.429 volume_a3_per_cell=553 crystal_system=tetragonal magnetic_moment_mub_per_cell=0.00 pbc="T T T"
Y 3.518 0.000 1.604
Y 3.523 4.227 6.252
Cd 5.864 6.932 6.580
Cd 5.305 1.522 7.805
Cd 0.000 0.000 0.000
Cd 7.041 4.227 7.856
Cd 5.285 6.340 9.378
Cd 8.797 6.340 6.335
Cd 7.043 2.113 10.180
Cd 7.038 2.113 5.532
Cd 4.462 3.554 9.653
Cd 9.387 5.748 12.832
Cd 5.300 2.705 3.157
Cd 6.707 4.900 4.731
Cd 7.375 4.900 10.982
Cd 2.584 3.554 2.851
Cd 1.746 2.705 9.347
Cd 4.695 5.748 2.881
Cd 2.589 0.673 7.499
Cd 8.218 6.932 9.133
Cd 1.741 1.522 4.699
Cd 3.852 7.780 4.729
Cd 10.230 7.780 10.983
Cd 4.457 0.673 5.006

Record 8
20
Lattice="-0.744 -7.599 1.722 8.513 -0.502 1.460 -1.780 2.038 11.076" Properties=species:S:1:pos:R:3 comment="KNpTl2Br6 | Alexandria | PBE | optimized geometry" dft_energy_ev_per_atom=-4.121 formation_energy_uncorrected_mev_per_atom=-1241 volume_a3_per_cell=771 crystal_system=monoclinic magnetic_moment_mub_per_cell=8.00 pbc="T T T"
K -0.372 -3.800 0.861
K 3.367 0.768 6.268
Np -1.262 -2.781 6.399
Np 4.256 -0.251 0.730
Tl 7.353 -0.137 4.361
Tl 3.159 -2.744 10.257
Tl -1.363 -5.926 9.896
Tl 2.831 -3.319 4.001
Br 5.414 -2.547 2.055
Br 5.465 -5.405 8.679
Br 0.575 -3.516 12.203
Br 0.525 -0.659 5.579
Br 5.126 -2.074 6.292
Br 4.382 -4.885 12.780
Br 0.864 -3.989 7.966
Br 1.608 -1.178 1.478
Br 3.769 -6.345 4.917
Br 6.365 -1.710 10.127
Br 2.220 0.282 9.341
Br -0.375 -4.353 4.130

Record 9
18
Lattice="-3.037 -2.830 -3.991 4.838 -3.161 -1.440 -2.859 -2.406 7.997" Properties=species:S:1:pos:R:3 comment="Na2Ag2F5 | Alexandria | PBE | optimized geometry" dft_energy_ev_per_atom=-3.771 formation_energy_uncorrected_mev_per_atom=-1805 e_above_lowest_polymorph_ev_per_atom=0.005 volume_a3_per_cell=268 crystal_system=monoclinic magnetic_moment_mub_per_cell=0.00 pbc="T T T"
Na 2.332 -3.136 0.801
Na -2.760 -5.676 1.586
Na -1.874 -3.229 -0.808
Na 1.443 -5.586 3.188
Ag 0.306 -0.223 -0.088
Ag 1.215 -3.208 -2.797
Ag -0.871 -3.236 2.574
Ag 0.446 -5.567 -0.197
F 0.521 -5.143 5.284
F 1.465 -5.248 -3.626
F -1.895 -3.564 6.005
F -0.951 -3.667 -2.906
F 2.589 -4.954 -0.532
F -0.581 -5.428 2.172
F 0.158 -3.366 0.193
F -3.012 -3.839 2.895
F -1.733 -5.816 -0.809
F -4.152 -4.237 -0.089

Record 10
16
Lattice="8.735 0.000 0.000 0.000 8.735 0.000 0.000 0.000 8.735" Properties=species:S:1:pos:R:3 comment="LiI | Alexandria | PBE | optimized geometry" dft_energy_ev_per_atom=-2.915 formation_energy_uncorrected_mev_per_atom=-1183 e_above_lowest_polymorph_ev_per_atom=0.034 volume_a3_per_cell=666 crystal_system=cubic magnetic_moment_mub_per_cell=0.00 pbc="T T T"
Li 1.278 1.278 1.278
Li 1.278 7.457 7.457
Li 7.457 1.278 7.457
Li 7.457 7.457 1.278
Li 5.645 5.645 5.645
Li 5.645 3.090 3.090
Li 3.090 5.645 3.090
Li 3.090 3.090 5.645
I 2.859 2.859 2.859
I 2.859 5.876 5.876
I 5.876 2.859 5.876
I 5.876 5.876 2.859
I 7.226 7.226 7.226
I 7.226 1.509 1.509
I 1.509 7.226 1.509
I 1.509 1.509 7.226

Record 11
4
Lattice="-1.360 -2.130 -2.359 3.110 -4.221 2.020 -4.125 -1.327 3.577" Properties=species:S:1:pos:R:3 comment="Sm2PaHg | Alexandria | PBE | optimized geometry" delta_e_f_ev_per_atom=0.00 dft_energy_ev_per_atom=-4.808 e_above_lowest_polymorph_ev_per_atom=0.109 volume_a3_per_cell=109 crystal_system=tetragonal magnetic_moment_mub_per_cell=0.00 pbc="T T T"
Pa -0.680 -1.065 -1.179
Hg -1.188 -3.840 1.619
Sm -2.063 -0.664 1.788
Sm 1.555 -2.111 1.010